Computed, not measured: crystalline Pm3HgH at its relaxed geometry at the GGA-PBE level of DFT.

Unit cell a=4.946 b=4.946 c=4.946 alpha=90.00 beta=90.00 gamma=90.00
Site moments in Bohr magnetons follow the coordinates.
Fractional positions:
1 H 0.000 0.000 0.000  0.00
2 Hg 0.500 0.500 0.500  0.00
3 Pm 0.000 0.500 0.000  0.17
4 Pm 0.000 0.000 0.500  0.17
5 Pm 0.500 0.000 0.000  0.17

Calculated values
Excess energy over the best structure of this formula in the dataset (kJ/mol of atoms): 1.9

***

Computed, not measured: crystalline LiEuO2 at its relaxed geometry at the GGA-PBE level of DFT.

Unit cell a=3.487 b=5.403 c=11.501 alpha=90.00 beta=90.00 gamma=90.00
Site moments in Bohr magnetons follow the coordinates.
Fractional positions:
1 Li 0.250 0.402 0.565  0.00
2 Li 0.250 0.098 0.065  0.00
3 Li 0.750 0.598 0.435  0.00
4 Li 0.750 0.902 0.935  0.00
5 Eu 0.250 0.455 0.860  6.27
6 Eu 0.250 0.045 0.360  6.27
7 Eu 0.750 0.545 0.140  6.27
8 Eu 0.750 0.955 0.640  6.27
9 O 0.250 0.753 0.525  -0.14
10 O 0.250 0.747 0.025  -0.14
11 O 0.750 0.247 0.475  -0.14
12 O 0.750 0.253 0.975  -0.14
13 O 0.250 0.197 0.702  -0.16
14 O 0.250 0.303 0.202  -0.16
15 O 0.750 0.803 0.298  -0.16
16 O 0.750 0.697 0.798  -0.16

Calculated values
E_form (uncorrected) (meV per atom): -2394

***

Computed, not measured: crystalline PHI3 at its relaxed geometry at the GGA-PBE level of DFT.

Unit cell a=3.138 b=9.193 c=21.364 alpha=93.90 beta=67.16 gamma=133.53
Fractional positions:
1 P 0.424 0.036 0.461
2 P 0.576 0.964 0.539
3 H 0.436 0.409 0.172
4 H 0.564 0.591 0.828
5 I 0.759 0.607 0.388
6 I 0.241 0.393 0.612
7 I 0.758 0.304 0.911
8 I 0.243 0.834 0.758
9 I 0.242 0.696 0.089
10 I 0.757 0.166 0.242

Calculated values
Excess energy over the best structure of this formula in the dataset (kJ/mol of atoms): 10.4

***

Q: What is the formula in the second record?
A: LiEuO2

***

Q: Number 2 is which compound?
A: LiEuO2

***

Q: Number 2 is which compound?
A: LiEuO2